Below is crystalline HoTlCu at its relaxed geometry, with properties calculated at the PBE-GGA level.

Cell and atoms, written as extended XYZ:
```
18
Lattice="13.300 0.000 0.000 0.000 3.903 0.000 0.000 0.000 7.580" Properties=species:S:1:pos:R:3 pbc="T T T"
Ho 0.626 0.000 1.713
Ho 3.325 0.000 6.424
Ho 6.024 0.000 1.713
Ho 7.276 0.000 5.867
Ho 9.975 0.000 1.155
Ho 12.674 0.000 5.867
Tl 1.560 1.952 4.351
Tl 3.325 1.952 1.374
Tl 5.090 1.952 4.351
Tl 8.210 1.952 3.229
Tl 9.975 1.952 6.206
Tl 11.740 1.952 3.229
Cu 1.164 1.952 7.149
Cu 3.325 0.000 3.331
Cu 5.486 1.952 7.149
Cu 7.814 1.952 0.431
Cu 9.975 0.000 4.249
Cu 12.136 1.952 0.431
```

DFT total energy ... -3.94 eV per atom
Space-group type ... Pmma
Crystal system ... orthorhombic